Entry 1:
MgAs: relaxed, GGA-PBEsol.

Structure (extended XYZ):
```
8
Lattice="5.862 0.000 0.000 0.000 4.603 0.000 0.000 0.000 5.722" Properties=species:S:1:pos:R:3 pbc="T T T"
Mg 0.716 1.151 1.037
Mg 2.214 3.452 3.898
Mg 3.647 1.151 1.824
Mg 5.145 3.452 4.685
As 0.700 1.151 3.995
As 2.231 3.452 1.134
As 3.631 1.151 4.588
As 5.162 3.452 1.727
```

Summary:
E above lowest polymorph: 0.082 eV per atom

Entry 2:
HfAuS2Cl: relaxed, GGA-PBEsol.

Structure (extended XYZ):
```
5
Lattice="4.751 0.000 0.000 0.000 4.751 0.000 0.000 0.000 4.668" Properties=species:S:1:pos:R:3 pbc="T T T"
Hf 0.000 0.000 0.000
Au 2.376 2.376 2.334
S 0.000 2.376 2.334
S 2.376 0.000 2.334
Cl 2.376 2.376 0.000
```

Summary:
uncorrected formation energy: 2.02 eV per formula unit

Entry 3:
Cd2TeCl: relaxed, GGA-PBEsol.

Structure (extended XYZ):
```
4
Lattice="1.978 -2.617 0.000 1.978 2.617 0.000 0.000 0.000 9.285" Properties=species:S:1:pos:R:3 pbc="T T T"
Cd 0.000 0.000 0.000
Cd 1.978 0.000 2.159
Te 0.000 0.000 4.496
Cl 1.978 0.000 7.597
```

Summary:
uncorrected formation energy: -0.88 eV per formula unit
E above lowest polymorph: 0.007 eV per atom

Entry 4:
SiTc2Hg: relaxed, GGA-PBEsol.

Structure (extended XYZ):
```
4
Lattice="2.987 0.000 0.000 0.000 2.987 0.000 0.000 0.000 6.861" Properties=species:S:1:pos:R:3 pbc="T T T"
Si 0.000 0.000 0.000
Tc 0.000 0.000 2.866
Tc 1.493 1.493 1.256
Hg 1.493 1.493 4.847
```

Summary:
uncorrected formation energy: 0.42 eV per formula unit
E above lowest polymorph: 0.000 eV per atom

Final energy (computed, eV per atom): -3.7615 -4.6361 -2.2032 -7.1058